This record from Alexandria via LeMat-Bulk describes crystalline Ta2IrPb at its relaxed geometry. The functional is GGA-PBE.

## Properties
formation enthalpy at 0 K: 0.12 eV/atom

Unit cell a=3.205 b=3.205 c=7.847 alpha=90.00 beta=90.00 gamma=90.00
Sites, in units of the cell vectors:
Ta 0.000 0.000 0.000
Ta 0.500 0.500 0.237
Ir 0.000 0.000 0.408
Pb 0.500 0.500 0.702

***

This record from Alexandria via LeMat-Bulk describes crystalline CdIn2Sn2Au7 at its relaxed geometry. The functional is GGA-PBE.

## Properties
formation enthalpy at 0 K: -0.11 eV/atom

Unit cell a=4.007 b=4.007 c=17.747 alpha=96.33 beta=96.33 gamma=89.99
Sites, in units of the cell vectors:
Cd 0.000 0.000 0.000
In 0.365 0.365 0.749
In 0.635 0.635 0.251
Sn 0.218 0.218 0.430
Sn 0.782 0.782 0.570
Au 0.074 0.573 0.134
Au 0.294 0.294 0.594
Au 0.427 0.926 0.866
Au 0.500 0.500 0.000
Au 0.573 0.074 0.134
Au 0.706 0.706 0.406
Au 0.926 0.427 0.866

***

This record from Alexandria via LeMat-Bulk describes crystalline LiY2Mo at its relaxed geometry. The functional is GGA-PBE.

## Properties
formation enthalpy at 0 K: 0.23 eV/atom

Unit cell a=3.490 b=3.513 c=8.035 alpha=90.00 beta=90.07 gamma=90.00
Sites, in units of the cell vectors:
Li 0.000 0.000 0.000
Y 0.500 0.500 0.287
Y 0.500 0.500 0.713
Mo 0.000 0.000 0.500

***

This record from Alexandria via LeMat-Bulk describes crystalline Na3Sr2Br3O2 at its relaxed geometry. The functional is GGA-PBE.

## Properties
raw formation energy: -1.928 eV per atom

Unit cell a=12.155 b=12.155 c=12.155 alpha=157.68 beta=157.68 gamma=31.78
Sites, in units of the cell vectors:
Na 0.000 0.000 0.000
Na 0.378 0.378 0.000
Na 0.622 0.622 0.000
Sr 0.250 0.750 0.500
Sr 0.750 0.250 0.500
Br 0.126 0.126 0.000
Br 0.500 0.500 0.000
Br 0.874 0.874 0.000
O 0.281 0.281 0.000
O 0.719 0.719 0.000

***

This record from Alexandria via LeMat-Bulk describes crystalline TaNb4W5 at its relaxed geometry. The functional is GGA-PBE.

## Properties
formation enthalpy at 0 K: -0.06 eV/atom

Unit cell a=3.243 b=3.243 c=16.204 alpha=90.00 beta=90.00 gamma=90.00
Sites, in units of the cell vectors:
Ta 0.000 0.000 0.000
Nb 0.000 0.000 0.200
Nb 0.000 0.000 0.400
Nb 0.000 0.000 0.600
Nb 0.000 0.000 0.800
W 0.500 0.500 0.100
W 0.500 0.500 0.300
W 0.500 0.500 0.500
W 0.500 0.500 0.700
W 0.500 0.500 0.900

***

This record from Alexandria via LeMat-Bulk describes crystalline LaNd3Tm12 at its relaxed geometry. The functional is GGA-PBE.

## Properties
formation enthalpy at 0 K: 0.03 eV/atom

Unit cell a=5.009 b=5.009 c=20.047 alpha=90.00 beta=90.00 gamma=90.00
Sites, in units of the cell vectors:
La 0.000 0.000 0.000
Nd 0.000 0.000 0.250
Nd 0.000 0.000 0.500
Nd 0.000 0.000 0.750
Tm 0.000 0.500 0.127
Tm 0.000 0.500 0.375
Tm 0.000 0.500 0.625
Tm 0.000 0.500 0.873
Tm 0.500 0.000 0.127
Tm 0.500 0.000 0.375
Tm 0.500 0.000 0.625
Tm 0.500 0.000 0.873
Tm 0.500 0.500 0.000
Tm 0.500 0.500 0.251
Tm 0.500 0.500 0.500
Tm 0.500 0.500 0.749

***

This record from Alexandria via LeMat-Bulk describes crystalline BaTlGeW2 at its relaxed geometry. The functional is GGA-PBE.

## Properties
formation enthalpy at 0 K: 2.25 eV/atom

Unit cell a=5.251 b=5.251 c=6.162 alpha=90.00 beta=90.00 gamma=90.00
Sites, in units of the cell vectors:
Ba 0.000 0.000 0.000
Tl 0.000 0.000 0.500
Ge 0.500 0.500 0.000
W 0.000 0.500 0.500
W 0.500 0.000 0.500

***

This record from Alexandria via LeMat-Bulk describes crystalline PrNd5SmHo2 at its relaxed geometry. The functional is GGA-PBE.

## Properties
formation enthalpy at 0 K: 0.15 eV/atom

Unit cell a=10.681 b=10.681 c=10.650 alpha=90.00 beta=90.00 gamma=148.82
Sites, in units of the cell vectors:
Pr 0.087 0.913 0.500
Pr 0.913 0.087 0.000
Nd 0.023 0.977 0.792
Nd 0.110 0.890 0.077
Nd 0.203 0.797 0.758
Nd 0.220 0.780 0.363
Nd 0.484 0.516 0.074
Nd 0.516 0.484 0.574
Nd 0.780 0.220 0.863
Nd 0.797 0.203 0.258
Nd 0.890 0.110 0.577
Nd 0.977 0.023 0.292
Sm 0.301 0.699 0.063
Sm 0.699 0.301 0.563
Ho 0.383 0.617 0.374
Ho 0.387 0.613 0.784
Ho 0.613 0.387 0.284
Ho 0.617 0.383 0.874

***

This record from Alexandria via LeMat-Bulk describes crystalline Ti5C2N at its relaxed geometry. The functional is GGA-PBE.

## Properties
raw formation energy: -0.799 eV per atom

Unit cell a=5.308 b=5.308 c=10.090 alpha=90.00 beta=90.00 gamma=133.19
Sites, in units of the cell vectors:
Ti 0.053 0.947 0.620
Ti 0.053 0.947 0.880
Ti 0.256 0.744 0.250
Ti 0.333 0.667 0.570
Ti 0.333 0.667 0.930
Ti 0.667 0.333 0.070
Ti 0.667 0.333 0.430
Ti 0.744 0.256 0.750
Ti 0.947 0.053 0.120
Ti 0.947 0.053 0.380
C 0.154 0.846 0.060
C 0.154 0.846 0.440
C 0.846 0.154 0.560
C 0.846 0.154 0.940
N 0.222 0.778 0.750
N 0.778 0.222 0.250

***

This record from Alexandria via LeMat-Bulk describes crystalline Pm5PrAl2 at its relaxed geometry. The functional is GGA-PBE.

## Properties
formation enthalpy at 0 K: -0.08 eV/atom

Unit cell a=8.381 b=8.381 c=8.381 alpha=154.45 beta=101.71 gamma=83.96
Sites, in units of the cell vectors:
Pm 0.000 0.000 0.000
Pm 0.077 0.358 0.718
Pm 0.360 0.642 0.718
Pm 0.640 0.358 0.282
Pm 0.923 0.642 0.282
Pr 0.500 0.000 0.500
Al 0.270 0.270 0.000
Al 0.730 0.730 0.000

***

This record from Alexandria via LeMat-Bulk describes crystalline KAl3As at its relaxed geometry. The functional is GGA-PBE.

## Properties
formation enthalpy at 0 K: 0.49 eV/atom

Unit cell a=5.237 b=5.237 c=5.237 alpha=90.00 beta=90.00 gamma=90.00
Sites, in units of the cell vectors:
K 0.000 0.000 0.000
Al 0.000 0.500 0.500
Al 0.500 0.000 0.500
Al 0.500 0.500 0.000
As 0.500 0.500 0.500

***

This record from Alexandria via LeMat-Bulk describes crystalline CaNiPt2 at its relaxed geometry. The functional is GGA-PBE.

## Properties
formation enthalpy at 0 K: -0.16 eV/atom

Unit cell a=8.922 b=8.922 c=8.922 alpha=148.98 beta=148.98 gamma=44.44
Sites, in units of the cell vectors:
Ca 0.000 0.000 0.000
Ca 0.750 0.250 0.500
Ni 0.250 0.750 0.500
Ni 0.500 0.500 0.000
Pt 0.303 0.625 0.178
Pt 0.375 0.553 0.678
Pt 0.447 0.125 0.822
Pt 0.875 0.697 0.322

***

This record from Alexandria via LeMat-Bulk describes crystalline HfNi2HRu at its relaxed geometry. The functional is GGA-PBE.

Unit cell a=3.726 b=3.726 c=4.147 alpha=90.00 beta=90.00 gamma=90.00
Sites, in units of the cell vectors:
Hf 0.000 0.000 0.000
Ni 0.000 0.500 0.500
Ni 0.500 0.000 0.500
H 0.000 0.000 0.500
Ru 0.500 0.500 0.000

***

This record from Alexandria via LeMat-Bulk describes crystalline BaAlSi2Tc at its relaxed geometry. The functional is GGA-PBE.

## Properties
raw formation energy: -0.206 eV per atom

Unit cell a=4.744 b=4.744 c=4.855 alpha=90.00 beta=90.00 gamma=90.00
Sites, in units of the cell vectors:
Ba 0.000 0.000 0.000
Al 0.500 0.500 0.000
Si 0.000 0.500 0.500
Si 0.500 0.000 0.500
Tc 0.500 0.500 0.500

***

This record from Alexandria via LeMat-Bulk describes crystalline PrYHoAg at its relaxed geometry. The functional is GGA-PBE.

## Properties
formation enthalpy at 0 K: -0.14 eV/atom

Unit cell a=3.656 b=3.656 c=8.668 alpha=90.00 beta=90.00 gamma=90.00
Sites, in units of the cell vectors:
Pr 0.000 0.000 0.000
Y 0.500 0.500 0.704
Ho 0.500 0.500 0.292
Ag 0.000 0.000 0.493

***

This record from Alexandria via LeMat-Bulk describes crystalline RbHN2F at its relaxed geometry. The functional is GGA-PBE.

Unit cell a=3.447 b=3.447 c=6.262 alpha=90.00 beta=90.00 gamma=90.00
Sites, in units of the cell vectors:
Rb 0.000 0.000 0.000
H 0.500 0.500 0.500
N 0.000 0.500 0.500
N 0.500 0.000 0.500
F 0.500 0.500 0.000

***

This record from Alexandria via LeMat-Bulk describes crystalline Li2ZnAu at its relaxed geometry. The functional is GGA-PBE.

## Properties
formation enthalpy at 0 K: -0.37 eV/atom

Unit cell a=3.001 b=3.609 c=5.626 alpha=90.00 beta=90.00 gamma=90.00
Sites, in units of the cell vectors:
Li 0.000 0.000 0.242
Li 0.000 0.000 0.758
Zn 0.500 0.500 0.500
Au 0.500 0.500 0.000

***

This record from Alexandria via LeMat-Bulk describes crystalline PuMg2AlGe2 at its relaxed geometry. The functional is GGA-PBE.

## Properties
formation enthalpy at 0 K: -0.28 eV/atom

Unit cell a=4.267 b=8.315 c=6.985 alpha=90.00 beta=90.00 gamma=90.00
Sites, in units of the cell vectors:
Pu 0.000 0.064 0.000
Pu 0.000 0.936 0.500
Mg 0.000 0.326 0.380
Mg 0.000 0.674 0.880
Mg 0.500 0.418 0.054
Mg 0.500 0.582 0.554
Al 0.500 0.192 0.674
Al 0.500 0.808 0.174
Ge 0.000 0.361 0.770
Ge 0.000 0.639 0.270
Ge 0.500 0.132 0.293
Ge 0.500 0.868 0.793

***

This record from Alexandria via LeMat-Bulk describes crystalline Ca6MgCu6 at its relaxed geometry. The functional is GGA-PBE.

## Properties
formation enthalpy at 0 K: 0.03 eV/atom

Unit cell a=5.883 b=5.883 c=10.140 alpha=90.00 beta=90.00 gamma=120.00
Sites, in units of the cell vectors:
Ca 0.000 0.000 0.191
Ca 0.000 0.000 0.809
Ca 0.333 0.667 0.000
Ca 0.333 0.667 0.500
Ca 0.667 0.333 0.000
Ca 0.667 0.333 0.500
Mg 0.000 0.000 0.500
Cu 0.000 0.500 0.254
Cu 0.000 0.500 0.746
Cu 0.500 0.000 0.254
Cu 0.500 0.000 0.746
Cu 0.500 0.500 0.254
Cu 0.500 0.500 0.746

***

This record from Alexandria via LeMat-Bulk describes crystalline ScZnBr2 at its relaxed geometry. The functional is GGA-PBE.

## Properties
raw formation energy: -0.450 eV per atom

Unit cell a=5.637 b=5.637 c=3.595 alpha=107.35 beta=107.35 gamma=105.27
Sites, in units of the cell vectors:
Sc 0.000 0.000 0.000
Zn 0.500 0.500 0.000
Br 0.000 0.500 0.000
Br 0.500 0.000 0.000

***

This record from Alexandria via LeMat-Bulk describes crystalline ErSi2Pd2 at its relaxed geometry. The functional is GGA-PBE.

## Properties
raw formation energy: -0.926 eV per atom

Unit cell a=4.134 b=4.134 c=5.775 alpha=110.99 beta=110.99 gamma=89.69
Sites, in units of the cell vectors:
Er 0.000 0.000 0.000
Si 0.384 0.384 0.768
Si 0.616 0.616 0.232
Pd 0.250 0.750 0.500
Pd 0.750 0.250 0.500

***

This record from Alexandria via LeMat-Bulk describes crystalline VSbWC2 at its relaxed geometry. The functional is GGA-PBE.

## Properties
raw formation energy: 1.559 eV per atom

Unit cell a=4.062 b=4.062 c=5.102 alpha=90.00 beta=90.00 gamma=90.00
Sites, in units of the cell vectors:
V 0.000 0.000 0.000
Sb 0.500 0.500 0.000
W 0.000 0.000 0.500
C 0.000 0.500 0.500
C 0.500 0.000 0.500

***

This record from Alexandria via LeMat-Bulk describes crystalline Zr2TlSi at its relaxed geometry. The functional is GGA-PBE.

## Properties
raw formation energy: -0.216 eV per atom

Unit cell a=3.560 b=3.560 c=6.546 alpha=90.00 beta=90.00 gamma=90.00
Sites, in units of the cell vectors:
Zr 0.000 0.000 0.218
Zr 0.000 0.000 0.782
Tl 0.500 0.500 0.500
Si 0.500 0.500 0.000

***

This record from Alexandria via LeMat-Bulk describes crystalline Mg2InSb at its relaxed geometry. The functional is GGA-PBE.

## Properties
raw formation energy: -0.122 eV per atom

Unit cell a=6.006 b=6.006 c=6.006 alpha=137.75 beta=137.75 gamma=61.29
Sites, in units of the cell vectors:
Mg 0.000 0.000 0.000
Mg 0.750 0.250 0.500
In 0.500 0.500 0.000
Sb 0.250 0.750 0.500

***

Number 1: calculated total energy -8.951 eV per atom. Number 2: calculated total energy -3.222 eV per atom. Number 3: calculated total energy -6.188 eV per atom. Number 4: calculated total energy -4.154 eV per atom. Number 5: calculated total energy -11.746 eV per atom. Number 6: calculated total energy -4.524 eV per atom. Number 7: calculated total energy -4.715 eV per atom. Number 8: calculated total energy -4.574 eV per atom. Number 9: calculated total energy -9.080 eV per atom. Number 10: calculated total energy -4.578 eV per atom. Number 11: calculated total energy -2.908 eV per atom. Number 12: calculated total energy -5.128 eV per atom. Number 13: calculated total energy -7.139 eV per atom. Number 14: calculated total energy -5.582 eV per atom. Number 15: calculated total energy -4.804 eV per atom. Number 16: calculated total energy -3.474 eV per atom. Number 17: calculated total energy -2.461 eV per atom. Number 18: calculated total energy -5.364 eV per atom. Number 19: calculated total energy -2.910 eV per atom. Number 20: calculated total energy -3.188 eV per atom. Number 21: calculated total energy -6.085 eV per atom. Number 22: calculated total energy -7.369 eV per atom. Number 23: calculated total energy -6.437 eV per atom. Number 24: calculated total energy -2.635 eV per atom.